[1]
Density functional theory data (PBE) for an optimized crystal structure of PrHo2TmTl4.

a = 9.386 Å, b = 9.386 Å, c = 9.386 Å
α = 33.38°, β = 33.38°, γ = 33.38°
Element x y z (fractional)
Pr (0.000, 0.000, 0.000)
Ho (0.249, 0.249, 0.249)
Ho (0.751, 0.751, 0.751)
Tm (0.500, 0.500, 0.500)
Tl (0.127, 0.127, 0.127)
Tl (0.377, 0.377, 0.377)
Tl (0.623, 0.623, 0.623)
Tl (0.873, 0.873, 0.873)

Total DFT energy (no corrections) in eV per atom: -3.81
Formation enthalpy at 0 K in eV/atom: -0.33
Total magnetization in μB per atom: 0.00
Crystal system: trigonal
Space group: R-3m (166)

=====

[2]
Density functional theory data (PBE) for an optimized crystal structure of Ho3NiAg.

a = 8.560 Å, b = 8.560 Å, c = 3.805 Å
α = 90.00°, β = 90.00°, γ = 110.85°
Element x y z (fractional)
Ho (0.175, 0.825, 0.000)
Ho (0.186, 0.435, 0.500)
Ho (0.435, 0.186, 0.500)
Ho (0.565, 0.814, 0.500)
Ho (0.814, 0.565, 0.500)
Ho (0.825, 0.175, 0.000)
Ni (0.000, 0.500, 0.000)
Ni (0.500, 0.000, 0.000)
Ag (0.000, 0.000, 0.500)
Ag (0.500, 0.500, 0.000)

Total DFT energy (no corrections) in eV per atom: -4.65
Formation enthalpy at 0 K in eV/atom: -0.18
Total magnetization in μB per atom: 0.00
Offset from the most stable computed form in eV/atom: 0.086
Crystal system: orthorhombic
Space group: Cmmm (65)

=====

[3]
Density functional theory data (PBE) for an optimized crystal structure of Li2Th2Zn15.

a = 6.848 Å, b = 6.848 Å, c = 6.848 Å
α = 83.06°, β = 83.06°, γ = 83.06°
Element x y z (fractional)
Li (0.098, 0.098, 0.098)
Li (0.902, 0.902, 0.902)
Th (0.342, 0.342, 0.342)
Th (0.658, 0.658, 0.658)
Zn (0.000, 0.000, 0.500)
Zn (0.000, 0.290, 0.710)
Zn (0.000, 0.500, 0.000)
Zn (0.000, 0.710, 0.290)
Zn (0.156, 0.651, 0.651)
Zn (0.290, 0.000, 0.710)
Zn (0.290, 0.710, 0.000)
Zn (0.349, 0.349, 0.844)
Zn (0.349, 0.844, 0.349)
Zn (0.500, 0.000, 0.000)
Zn (0.651, 0.156, 0.651)
Zn (0.651, 0.651, 0.156)
Zn (0.710, 0.000, 0.290)
Zn (0.710, 0.290, 0.000)
Zn (0.844, 0.349, 0.349)

Total DFT energy (no corrections) in eV per atom: -2.23
Formation enthalpy at 0 K in eV/atom: -0.24
Total magnetization in μB per atom: 0.00
Crystal system: trigonal
Space group: R-3m (166)

=====

[4]
Density functional theory data (PBE) for an optimized crystal structure of ZnRe2Se.

a = 3.816 Å, b = 3.816 Å, c = 4.349 Å
α = 90.00°, β = 90.00°, γ = 90.00°
Element x y z (fractional)
Zn (0.000, 0.000, 0.000)
Re (0.000, 0.500, 0.500)
Re (0.500, 0.000, 0.500)
Se (0.500, 0.500, 0.000)

Raw formation energy in eV/atom: 0.887
Total DFT energy (no corrections) in eV per atom: -6.53
Total magnetization in μB per atom: 0.00
Offset from the most stable computed form in eV/atom: 0.691
Crystal system: tetragonal
Space group: P4/mmm (123)

=====

[5]
Density functional theory data (PBE) for an optimized crystal structure of LiV3Mo.

a = 4.117 Å, b = 4.117 Å, c = 4.117 Å
α = 90.00°, β = 90.00°, γ = 90.00°
Element x y z (fractional)
Li (0.000, 0.000, 0.000)
V (0.000, 0.000, 0.500)
V (0.000, 0.500, 0.000)
V (0.500, 0.000, 0.000)
Mo (0.500, 0.500, 0.500)

Total DFT energy (no corrections) in eV per atom: -6.84
Formation enthalpy at 0 K in eV/atom: 1.18
Total magnetization in μB per atom: 0.07
Offset from the most stable computed form in eV/atom: 0.000
Crystal system: cubic
Space group: Pm-3m (221)

=====

[6]
Density functional theory data (PBE) for an optimized crystal structure of CeGe2Sb2Pt7.

a = 15.790 Å, b = 15.790 Å, c = 15.790 Å
α = 165.51°, β = 165.51°, γ = 20.55°
Element x y z (fractional)
Ce (0.000, 0.000, 0.000)
Ge (0.378, 0.378, 0.000)
Ge (0.622, 0.622, 0.000)
Sb (0.213, 0.213, 0.000)
Sb (0.787, 0.787, 0.000)
Pt (0.071, 0.571, 0.500)
Pt (0.299, 0.299, 0.000)
Pt (0.429, 0.929, 0.500)
Pt (0.500, 0.500, 0.000)
Pt (0.571, 0.071, 0.500)
Pt (0.701, 0.701, 0.000)
Pt (0.929, 0.429, 0.500)

Raw formation energy in eV/atom: -0.594
Total DFT energy (no corrections) in eV per atom: -6.07
Total magnetization in μB per atom: 0.01
Crystal system: tetragonal
Space group: I4/mmm (139)

=====

[7]
Density functional theory data (PBE) for an optimized crystal structure of CaIr4Se.

a = 5.314 Å, b = 5.314 Å, c = 5.314 Å
α = 60.00°, β = 60.00°, γ = 60.00°
Element x y z (fractional)
Ca (0.000, 0.000, 0.000)
Ir (0.125, 0.625, 0.625)
Ir (0.625, 0.125, 0.625)
Ir (0.625, 0.625, 0.125)
Ir (0.625, 0.625, 0.625)
Se (0.250, 0.250, 0.250)

Raw formation energy in eV/atom: 0.207
Total DFT energy (no corrections) in eV per atom: -6.61
Total magnetization in μB per atom: 0.00
Crystal system: cubic
Space group: F-43m (216)

=====

[8]
Density functional theory data (PBE) for an optimized crystal structure of ScMo2Pd.

a = 5.962 Å, b = 5.962 Å, c = 5.962 Å
α = 100.29°, β = 100.29°, γ = 130.00°
Element x y z (fractional)
Sc (0.000, 0.000, 0.000)
Sc (0.750, 0.250, 0.500)
Mo (0.157, 0.125, 0.532)
Mo (0.375, 0.843, 0.968)
Mo (0.593, 0.625, 0.468)
Mo (0.875, 0.407, 0.032)
Pd (0.250, 0.750, 0.500)
Pd (0.500, 0.500, 0.000)

Total DFT energy (no corrections) in eV per atom: -7.85
Formation enthalpy at 0 K in eV/atom: 0.45
Total magnetization in μB per atom: 0.00
Offset from the most stable computed form in eV/atom: 0.076
Crystal system: tetragonal
Space group: I-42d (122)

=====

[9]
Density functional theory data (PBE) for an optimized crystal structure of Al2V2Hg.

a = 7.505 Å, b = 7.505 Å, c = 2.941 Å
α = 90.00°, β = 90.00°, γ = 90.00°
Element x y z (fractional)
Al (0.185, 0.315, 0.000)
Al (0.315, 0.815, 0.000)
Al (0.685, 0.185, 0.000)
Al (0.815, 0.685, 0.000)
V (0.109, 0.609, 0.500)
V (0.391, 0.109, 0.500)
V (0.609, 0.891, 0.500)
V (0.891, 0.391, 0.500)
Hg (0.000, 0.000, 0.500)
Hg (0.500, 0.500, 0.500)

Total DFT energy (no corrections) in eV per atom: -5.09
Formation enthalpy at 0 K in eV/atom: 0.11
Total magnetization in μB per atom: 0.00
Offset from the most stable computed form in eV/atom: 0.000
Crystal system: tetragonal
Space group: P4/mbm (127)

=====

[10]
Density functional theory data (PBE) for an optimized crystal structure of LiGaCoSn2.

a = 4.939 Å, b = 4.939 Å, c = 4.576 Å
α = 90.00°, β = 90.00°, γ = 90.00°
Element x y z (fractional)
Li (0.000, 0.000, 0.000)
Ga (0.500, 0.500, 0.000)
Co (0.500, 0.500, 0.500)
Sn (0.000, 0.500, 0.500)
Sn (0.500, 0.000, 0.500)

Total DFT energy (no corrections) in eV per atom: -4.02
Formation enthalpy at 0 K in eV/atom: -0.01
Total magnetization in μB per atom: 0.00
Crystal system: tetragonal
Space group: P4/mmm (123)

=====

[11]
Density functional theory data (PBE) for an optimized crystal structure of K2TlNi.

a = 9.257 Å, b = 9.257 Å, c = 9.257 Å
α = 131.40°, β = 131.40°, γ = 71.18°
Element x y z (fractional)
K (0.035, 0.625, 0.910)
K (0.375, 0.285, 0.410)
K (0.715, 0.125, 0.090)
K (0.875, 0.965, 0.590)
Tl (0.250, 0.750, 0.500)
Tl (0.500, 0.500, 0.000)
Ni (0.000, 0.000, 0.000)
Ni (0.750, 0.250, 0.500)

Total DFT energy (no corrections) in eV per atom: -1.65
Formation enthalpy at 0 K in eV/atom: 0.94
Total magnetization in μB per atom: 0.21
Offset from the most stable computed form in eV/atom: 0.769
Crystal system: tetragonal
Space group: I-42d (122)

=====

[12]
Density functional theory data (PBE) for an optimized crystal structure of Pm8Nd2Mg.

a = 9.853 Å, b = 9.853 Å, c = 9.853 Å
α = 146.59°, β = 133.43°, γ = 58.53°
Element x y z (fractional)
Pm (0.146, 0.366, 0.780)
Pm (0.174, 0.174, 0.000)
Pm (0.265, 0.000, 0.265)
Pm (0.415, 0.634, 0.780)
Pm (0.585, 0.366, 0.220)
Pm (0.735, 0.000, 0.735)
Pm (0.826, 0.826, 0.000)
Pm (0.854, 0.634, 0.220)
Nd (0.305, 0.805, 0.500)
Nd (0.695, 0.195, 0.500)
Mg (0.000, 0.500, 0.500)

Total DFT energy (no corrections) in eV per atom: -4.36
Formation enthalpy at 0 K in eV/atom: 0.10
Total magnetization in μB per atom: 0.00
Offset from the most stable computed form in eV/atom: 0.000
Crystal system: orthorhombic
Space group: Immm (71)

=====

Please write out number 1 again, unchanged.
Density functional theory data (PBE) for an optimized crystal structure of PrHo2TmTl4.

a = 9.386 Å, b = 9.386 Å, c = 9.386 Å
α = 33.38°, β = 33.38°, γ = 33.38°
Element x y z (fractional)
Pr (0.000, 0.000, 0.000)
Ho (0.249, 0.249, 0.249)
Ho (0.751, 0.751, 0.751)
Tm (0.500, 0.500, 0.500)
Tl (0.127, 0.127, 0.127)
Tl (0.377, 0.377, 0.377)
Tl (0.623, 0.623, 0.623)
Tl (0.873, 0.873, 0.873)

Total DFT energy (no corrections) in eV per atom: -3.81
Formation enthalpy at 0 K in eV/atom: -0.33
Total magnetization in μB per atom: 0.00
Crystal system: trigonal
Space group: R-3m (166)